Below is a relaxed structure of AcErPO6, with properties calculated at the PBE level.

Unit cell a=5.3458 b=5.3458 c=5.1333 alpha=90.00 beta=90.00 gamma=120.00
Fractional positions:
Ac: 0.0000 0.0000 0.0000
Er: 0.3333 0.6667 0.5000
P: 0.6667 0.3333 0.5000
O: 0.4042 0.0678 0.6953
O: 0.4042 0.3364 0.3047
O: 0.6636 0.0678 0.3047
O: 0.6636 0.5958 0.6953
O: 0.9322 0.3364 0.6953
O: 0.9322 0.5958 0.3047

Summary:
Crystal system: trigonal
Symmetry: No. 149
Magnetic moment in μB/f.u.: 1.0
Uncorrected energy in eV per atom: -7.48
N(E_F) in states/eV/atom: 0.669
Formation energy without anion corrections in eV/f.u.: -23.475